# TaHgN2 | the Alexandria database | PBE | optimized geometry
data_TaHgN2
_cell_length_a 3.1422
_cell_length_b 3.1422
_cell_length_c 20.6234
_cell_angle_alpha 90.00
_cell_angle_beta 90.00
_cell_angle_gamma 120.00
_symmetry_space_group_name_H-M 'R -3 m'
_symmetry_Int_Tables_number 166
_symmetry_space_group_name_Hall '-R 3 2"'
loop_
_atom_site_label
_atom_site_fract_x
_atom_site_fract_y
_atom_site_fract_z
Ta1 0.0000 0.0000 0.0000
Hg1 0.0000 0.0000 0.5000
N1 0.0000 0.0000 0.3858
# **Fermi-level density of states**: 5.03 states/eV per cell
# **Size of the total moment**: 0.00 μB per cell
# **Formation energy without anion corrections**: -0.343 eV per atom
# **Total energy**: -7.54 eV/atom

# Ta2TcHgN | the Alexandria database | PBE | optimized geometry
data_Ta2TcHgN
_cell_length_a 4.264
_cell_length_b 4.264
_cell_length_c 4.173
_cell_angle_alpha 90.00
_cell_angle_beta 90.00
_cell_angle_gamma 90.00
_symmetry_space_group_name_H-M 'P 4/m m m'
_symmetry_Int_Tables_number 123
_symmetry_space_group_name_Hall '-P 4 2'
loop_
_atom_site_label
_atom_site_fract_x
_atom_site_fract_y
_atom_site_fract_z
Ta1 0.000 0.500 0.000
Tc1 0.000 0.000 0.500
Hg1 0.500 0.500 0.500
N1 0.000 0.000 0.000
# **Fermi-level density of states**: 3.74 states/eV per cell
# **Size of the total moment**: 0.00 μB per cell
# **Formation energy without anion corrections**: -0.134 eV per atom
# **Total energy**: -8.67 eV/atom